# 1
# ZrCo2Te

Crystalline ZrCo2Te at its relaxed geometry (GGA-PBE, Alexandria via LeMat-Bulk).

Results
**ΔE_f (raw)**: 19 meV per atom
**N(E_F)**: 3.99 states/eV/f.u.

Unit cell a=3.493 b=3.493 c=5.462 alpha=90.00 beta=90.00 gamma=90.00
Space group P4mm (No. 99)
Unique sites:
Zr1 0.000 0.000 0.000 [1 per cell]
Co1 0.000 0.000 0.473 [1 per cell]
Co2 0.500 0.500 0.183 [1 per cell]
Te1 0.500 0.500 0.639 [1 per cell]



# 2
# TbPr2SmDy4

Crystalline TbPr2SmDy4 at its relaxed geometry (GGA-PBE, Alexandria via LeMat-Bulk).

Results
**Energy of formation from the pure elements**: 1.8 kJ/mol of atoms
**N(E_F)**: 10.96 states/eV/f.u.

Unit cell a=5.089 b=5.116 c=10.109 alpha=90.00 beta=90.00 gamma=90.00
Space group Pmmm (No. 47)
Unique sites:
Tb1 0.000 0.000 0.000 [1 per cell]
Pr1 0.000 0.000 0.500 [1 per cell]
Pr2 0.500 0.500 0.000 [1 per cell]
Sm1 0.500 0.500 0.500 [1 per cell]
Dy1 0.000 0.500 0.249 [2 per cell]
Dy2 0.500 0.000 0.249 [2 per cell]



# 3
# ReHg2Pb

Crystalline ReHg2Pb at its relaxed geometry (GGA-PBE, Alexandria via LeMat-Bulk).

Results
**Energy of formation from the pure elements**: 75.6 kJ/mol of atoms
**N(E_F)**: 2.93 states/eV/f.u.

Unit cell a=3.025 b=5.368 c=10.945 alpha=90.00 beta=90.00 gamma=90.00
Space group Cmmm (No. 65)
Unique sites:
Re1 0.000 0.000 0.000 [2 per cell]
Hg1 0.000 0.500 0.222 [4 per cell]
Pb1 0.000 0.000 0.500 [2 per cell]



# 4
# Ho4Sc3Tc2

Crystalline Ho4Sc3Tc2 at its relaxed geometry (GGA-PBE, Alexandria via LeMat-Bulk).

Results
**Energy of formation from the pure elements**: -8.0 kJ/mol of atoms
**N(E_F)**: 8.56 states/eV/f.u.

Unit cell a=15.780 b=4.145 c=7.398 alpha=90.00 beta=108.94 gamma=90.00
Space group C2/m (No. 12)
Unique sites:
Ho1 0.085 0.000 0.351 [4 per cell]
Ho2 0.223 0.500 0.174 [4 per cell]
Sc1 0.000 0.500 0.000 [2 per cell]
Sc2 0.098 0.500 0.706 [4 per cell]
Tc1 0.103 0.000 0.941 [4 per cell]



# 5
# POsAuCl2

Crystalline POsAuCl2 at its relaxed geometry (GGA-PBE, Alexandria via LeMat-Bulk).

Results
**ΔE_f (raw)**: 632 meV per atom
**Energy above the lowest structure with this stoichiometry**: 0.00 kcal/mol of atoms
**N(E_F)**: 4.90 states/eV/f.u.

Unit cell a=4.904 b=4.904 c=4.504 alpha=90.00 beta=90.00 gamma=90.00
Space group P4/mmm (No. 123)
Unique sites:
P1 0.000 0.000 0.000 [1 per cell]
Os1 0.000 0.000 0.500 [1 per cell]
Au1 0.500 0.500 0.000 [1 per cell]
Cl1 0.000 0.500 0.500 [2 per cell]



# 6
# MnCu

Crystalline MnCu at its relaxed geometry (GGA-PBE, Alexandria via LeMat-Bulk).

Results
**Energy of formation from the pure elements**: 27.0 kJ/mol of atoms
**N(E_F)**: 2.21 states/eV/f.u.

Unit cell a=2.5767 b=2.5767 c=4.3038 alpha=90.00 beta=90.00 gamma=120.00
Space group P-6m2 (No. 187)
Unique sites:
Mn1 0.0000 0.0000 0.0000 [1 per cell]
Cu1 0.3333 0.6667 0.5000 [1 per cell]



# 7
# RbSbO2

Crystalline RbSbO2 at its relaxed geometry (GGA-PBE, Alexandria via LeMat-Bulk).

Results
**ΔE_f (raw)**: -1502 meV per atom
**N(E_F)**: 0.00 states/eV/f.u.

Unit cell a=6.165 b=6.030 c=10.538 alpha=90.00 beta=114.92 gamma=90.00
Space group P2/c (No. 13)
Unique sites:
Rb1 0.126 0.234 0.118 [4 per cell]
Sb1 0.428 0.300 0.883 [4 per cell]
O1 0.276 0.308 0.651 [4 per cell]
O2 0.355 0.378 0.392 [4 per cell]



# 8
# Al2ZnPb

Crystalline Al2ZnPb at its relaxed geometry (GGA-PBE, Alexandria via LeMat-Bulk).

Results
**Energy of formation from the pure elements**: 31.1 kJ/mol of atoms
**Energy above the lowest structure with this stoichiometry**: 3.33 kcal/mol of atoms
**N(E_F)**: 1.69 states/eV/f.u.

Unit cell a=7.014 b=7.014 c=7.014 alpha=90.00 beta=90.00 gamma=90.00
Space group Fm-3m (No. 225)
Unique sites:
Al1 0.250 0.250 0.250 [8 per cell]
Zn1 0.000 0.000 0.000 [4 per cell]
Pb1 0.000 0.000 0.500 [4 per cell]



# 9
# KMn2Pd2

Crystalline KMn2Pd2 at its relaxed geometry (GGA-PBE, Alexandria via LeMat-Bulk).

Results
**Energy of formation from the pure elements**: 10.8 kJ/mol of atoms
**Energy above the lowest structure with this stoichiometry**: 0.00 kcal/mol of atoms
**N(E_F)**: 1.83 states/eV/f.u.

Unit cell a=8.058 b=8.058 c=2.917 alpha=90.00 beta=90.00 gamma=90.00
Space group P4/mbm (No. 127)
Unique sites:
K1 0.000 0.000 0.000 [2 per cell]
Mn1 0.133 0.367 0.500 [4 per cell]
Pd1 0.152 0.652 0.000 [4 per cell]



# 10
# GdTmMgCr

Crystalline GdTmMgCr at its relaxed geometry (GGA-PBE, Alexandria via LeMat-Bulk).

Results
**Energy of formation from the pure elements**: 12.7 kJ/mol of atoms
**N(E_F)**: 2.44 states/eV/f.u.

Unit cell a=7.323 b=7.323 c=7.323 alpha=90.00 beta=90.00 gamma=90.00
Space group F-43m (No. 216)
Unique sites:
Gd1 0.000 0.000 0.000 [4 per cell]
Tm1 0.000 0.000 0.500 [4 per cell]
Mg1 0.250 0.250 0.250 [4 per cell]
Cr1 0.250 0.250 0.750 [4 per cell]



# 11
# CaFeCl3

Crystalline CaFeCl3 at its relaxed geometry (GGA-PBE, Alexandria via LeMat-Bulk).

Results
**ΔE_f (raw)**: -991 meV per atom
**Energy above the lowest structure with this stoichiometry**: 0.00 kcal/mol of atoms
**N(E_F)**: 6.77 states/eV/f.u.

Unit cell a=4.828 b=4.828 c=4.828 alpha=90.00 beta=90.00 gamma=90.00
Space group Pm-3m (No. 221)
Unique sites:
Ca1 0.000 0.000 0.000 [1 per cell]
Fe1 0.500 0.500 0.500 [1 per cell]
Cl1 0.000 0.500 0.500 [3 per cell]



# 12
# Li2AgTe

Crystalline Li2AgTe at its relaxed geometry (GGA-PBE, Alexandria via LeMat-Bulk).

Results
**ΔE_f (raw)**: -413 meV per atom
**N(E_F)**: 0.84 states/eV/f.u.

Unit cell a=3.122 b=3.982 c=6.329 alpha=90.00 beta=90.20 gamma=90.00
Space group P2/m (No. 10)
Unique sites:
Li1 0.002 0.000 0.243 [2 per cell]
Ag1 0.500 0.500 0.000 [1 per cell]
Te1 0.500 0.500 0.500 [1 per cell]



# 13
# FeH2Pt

Crystalline FeH2Pt at its relaxed geometry (GGA-PBE, Alexandria via LeMat-Bulk).

Results
**Energy above the lowest structure with this stoichiometry**: 10.26 kcal/mol of atoms
**N(E_F)**: 2.10 states/eV/f.u.

Unit cell a=5.217 b=5.217 c=5.217 alpha=90.00 beta=90.00 gamma=90.00
Space group Fm-3m (No. 225)
Unique sites:
Fe1 0.000 0.000 0.000 [4 per cell]
H1 0.250 0.250 0.250 [8 per cell]
Pt1 0.000 0.000 0.500 [4 per cell]



# 14
# Fe2TeMo

Crystalline Fe2TeMo at its relaxed geometry (GGA-PBE, Alexandria via LeMat-Bulk).

Results
**ΔE_f (raw)**: 556 meV per atom
**Energy above the lowest structure with this stoichiometry**: 4.96 kcal/mol of atoms
**N(E_F)**: 4.28 states/eV/f.u.

Unit cell a=3.0122 b=3.0122 c=24.3566 alpha=90.00 beta=90.00 gamma=120.00
Space group R-3m (No. 166, hexagonal axes)
Unique sites:
Fe1 0.0000 0.0000 0.2454 [6 per cell]
Te1 0.0000 0.0000 0.0000 [3 per cell]
Mo1 0.0000 0.0000 0.5000 [3 per cell]



# 15
# Ba2TlHPt

Crystalline Ba2TlHPt at its relaxed geometry (GGA-PBE, Alexandria via LeMat-Bulk).

Results
**Energy**: -3.58 eV/atom
**N(E_F)**: 3.60 states/eV/f.u.

Unit cell a=5.951 b=5.951 c=3.821 alpha=90.00 beta=90.00 gamma=90.00
Space group P4/mmm (No. 123)
Unique sites:
Ba1 0.000 0.500 0.000 [2 per cell]
Tl1 0.000 0.000 0.500 [1 per cell]
H1 0.500 0.500 0.000 [1 per cell]
Pt1 0.500 0.500 0.500 [1 per cell]



# 16
# Li2NdPt

Crystalline Li2NdPt at its relaxed geometry (GGA-PBE, Alexandria via LeMat-Bulk).

Results
**Energy of formation from the pure elements**: 1.5 kJ/mol of atoms
**Energy above the lowest structure with this stoichiometry**: 12.37 kcal/mol of atoms
**N(E_F)**: 4.05 states/eV/f.u.

Unit cell a=3.0017 b=3.0017 c=31.2167 alpha=90.00 beta=90.00 gamma=120.00
Space group R-3m (No. 166, hexagonal axes)
Unique sites:
Li1 0.0000 0.0000 0.1033 [6 per cell]
Nd1 0.0000 0.0000 0.0000 [3 per cell]
Pt1 0.0000 0.0000 0.5000 [3 per cell]



# 17
# PuClO

Crystalline PuClO at its relaxed geometry (GGA-PBE, Alexandria via LeMat-Bulk).

Results
**ΔE_f (raw)**: -2005 meV per atom
**N(E_F)**: 5.77 states/eV/f.u.

Unit cell a=6.122 b=6.122 c=6.122 alpha=90.00 beta=90.00 gamma=90.00
Space group F-43m (No. 216)
Unique sites:
Pu1 0.000 0.000 0.000 [4 per cell]
Cl1 0.250 0.250 0.750 [4 per cell]
O1 0.250 0.250 0.250 [4 per cell]



# 18
# CaMgZr2

Crystalline CaMgZr2 at its relaxed geometry (GGA-PBE, Alexandria via LeMat-Bulk).

Results
**Energy of formation from the pure elements**: 25.7 kJ/mol of atoms
**N(E_F)**: 7.38 states/eV/f.u.

Unit cell a=3.1999 b=3.1999 c=34.2321 alpha=90.00 beta=90.00 gamma=120.00
Space group R-3m (No. 166, hexagonal axes)
Unique sites:
Ca1 0.0000 0.0000 0.0000 [3 per cell]
Mg1 0.0000 0.0000 0.5000 [3 per cell]
Zr1 0.0000 0.0000 0.2453 [6 per cell]



# 19
# TePb3Cl

Crystalline TePb3Cl at its relaxed geometry (GGA-PBE, Alexandria via LeMat-Bulk).

Results
**ΔE_f (raw)**: 260 meV per atom
**Energy above the lowest structure with this stoichiometry**: 0.68 kcal/mol of atoms
**N(E_F)**: 4.69 states/eV/f.u.

Unit cell a=6.075 b=6.075 c=6.075 alpha=90.00 beta=90.00 gamma=90.00
Space group Pm-3m (No. 221)
Unique sites:
Te1 0.000 0.000 0.000 [1 per cell]
Pb1 0.000 0.000 0.500 [3 per cell]
Cl1 0.500 0.500 0.500 [1 per cell]



# 20
# Nd5Tm4Mg

Crystalline Nd5Tm4Mg at its relaxed geometry (GGA-PBE, Alexandria via LeMat-Bulk).

Results
**Energy of formation from the pure elements**: 0.2 kJ/mol of atoms
**N(E_F)**: 13.89 states/eV/f.u.

Unit cell a=3.619 b=3.619 c=24.440 alpha=90.00 beta=90.00 gamma=90.00
Space group P4/mmm (No. 123)
Unique sites:
Nd1 0.000 0.000 0.000 [1 per cell]
Nd2 0.000 0.000 0.203 [2 per cell]
Nd3 0.000 0.000 0.408 [2 per cell]
Tm1 0.500 0.500 0.102 [2 per cell]
Tm2 0.500 0.500 0.306 [2 per cell]
Mg1 0.500 0.500 0.500 [1 per cell]



# 21
# Ce2Zn3Ga5

Crystalline Ce2Zn3Ga5 at its relaxed geometry (GGA-PBE, Alexandria via LeMat-Bulk).

Results
**Energy of formation from the pure elements**: -38.9 kJ/mol of atoms
**Energy above the lowest structure with this stoichiometry**: 0.66 kcal/mol of atoms
**N(E_F)**: 14.74 states/eV/f.u.

Unit cell a=4.332 b=4.332 c=10.347 alpha=90.00 beta=90.00 gamma=90.00
Space group P-4m2 (No. 115)
Unique sites:
Ce1 0.000 0.500 0.247 [2 per cell]
Zn1 0.000 0.000 0.000 [1 per cell]
Zn2 0.000 0.500 0.874 [2 per cell]
Ga1 0.000 0.000 0.500 [1 per cell]
Ga2 0.000 0.500 0.641 [2 per cell]
Ga3 0.500 0.500 0.000 [1 per cell]
Ga4 0.500 0.500 0.500 [1 per cell]



# 22
# La2Zn2Rh

Crystalline La2Zn2Rh at its relaxed geometry (GGA-PBE, Alexandria via LeMat-Bulk).

Results
**Energy of formation from the pure elements**: -30.9 kJ/mol of atoms
**Energy above the lowest structure with this stoichiometry**: 4.74 kcal/mol of atoms
**N(E_F)**: 4.99 states/eV/f.u.

Unit cell a=7.001 b=7.001 c=4.656 alpha=90.00 beta=90.00 gamma=90.00
Space group P4/mbm (No. 127)
Unique sites:
La1 0.175 0.325 0.000 [4 per cell]
Zn1 0.132 0.632 0.500 [4 per cell]
Rh1 0.000 0.000 0.500 [2 per cell]



# 23
# SrMg3Pt

Crystalline SrMg3Pt at its relaxed geometry (GGA-PBE, Alexandria via LeMat-Bulk).

Results
**Energy of formation from the pure elements**: -42.7 kJ/mol of atoms
**Energy above the lowest structure with this stoichiometry**: 0.00 kcal/mol of atoms
**N(E_F)**: 2.14 states/eV/f.u.

Unit cell a=5.917 b=6.192 c=7.395 alpha=90.00 beta=112.23 gamma=90.00
Space group P2_1/m (No. 11)
Unique sites:
Sr1 0.078 0.250 0.379 [2 per cell]
Mg1 0.046 0.250 0.877 [2 per cell]
Mg2 0.473 0.503 0.210 [4 per cell]
Pt1 0.337 0.750 0.461 [2 per cell]



# 24
# Cs2GaBi

Crystalline Cs2GaBi at its relaxed geometry (GGA-PBE, Alexandria via LeMat-Bulk).

Results
**Energy of formation from the pure elements**: 4.4 kJ/mol of atoms
**Energy above the lowest structure with this stoichiometry**: 6.56 kcal/mol of atoms
**N(E_F)**: 0.00 states/eV/f.u.

Unit cell a=9.049 b=9.049 c=9.049 alpha=90.00 beta=90.00 gamma=90.00
Space group Fm-3m (No. 225)
Unique sites:
Cs1 0.250 0.250 0.250 [8 per cell]
Ga1 0.000 0.000 0.000 [4 per cell]
Bi1 0.000 0.000 0.500 [4 per cell]



# 25
# BeTlCu2

Crystalline BeTlCu2 at its relaxed geometry (GGA-PBE, Alexandria via LeMat-Bulk).

Results
**Energy of formation from the pure elements**: 39.6 kJ/mol of atoms
**Energy above the lowest structure with this stoichiometry**: 3.74 kcal/mol of atoms
**N(E_F)**: 0.80 states/eV/f.u.

Unit cell a=6.135 b=6.135 c=6.135 alpha=90.00 beta=90.00 gamma=90.00
Space group Fm-3m (No. 225)
Unique sites:
Be1 0.000 0.000 0.000 [4 per cell]
Tl1 0.000 0.000 0.500 [4 per cell]
Cu1 0.250 0.250 0.250 [8 per cell]



# 26
# BeAg8

Crystalline BeAg8 at its relaxed geometry (GGA-PBE, Alexandria via LeMat-Bulk).

Results
**Energy of formation from the pure elements**: 11.3 kJ/mol of atoms
**N(E_F)**: 2.00 states/eV/f.u.

Unit cell a=8.899 b=8.899 c=3.868 alpha=90.00 beta=90.00 gamma=90.00
Space group I4/mmm (No. 139)
Unique sites:
Be1 0.000 0.000 0.000 [2 per cell]
Ag1 0.000 0.330 0.000 [8 per cell]
Ag2 0.159 0.159 0.500 [8 per cell]



# 27
# CdNiBr3

Crystalline CdNiBr3 at its relaxed geometry (GGA-PBE, Alexandria via LeMat-Bulk).

Results
**ΔE_f (raw)**: 240 meV per atom
**N(E_F)**: 49.10 states/eV/f.u.

Unit cell a=5.451 b=5.451 c=5.451 alpha=90.00 beta=90.00 gamma=90.00
Space group Pm-3m (No. 221)
Unique sites:
Cd1 0.000 0.000 0.000 [1 per cell]
Ni1 0.500 0.500 0.500 [1 per cell]
Br1 0.000 0.000 0.500 [3 per cell]